Arrangement A

{
  "formula": "AcSBr",
  "functional": "PBE",
  "state": "optimized geometry",
  "lattice": [[-3.981, -2.484, 2.042], [0.773, -4.234, 2.768], [-0.743, 0.081, 5.062]],
  "species": ["Ac", "Br", "S"],
  "fractional_positions": [[0.250, 0.250, 0.250], [0.500, 0.500, 0.500], [0.000, 0.000, 0.000]],
  "sg": "F-43m",
  "magnetic_moment_mub_per_fu": 0.00,
  "density_g_cm3": 5.9
}

---

Arrangement B

{
  "formula": "AcSBr",
  "functional": "PBE",
  "state": "optimized geometry",
  "lattice": [[6.867, 0.000, 0.000], [0.000, 4.587, 0.000], [0.000, -2.294, 3.973]],
  "species": ["S", "Br", "Ac"],
  "fractional_positions": [[0.200, 0.333, 0.667], [0.765, 0.667, 0.333], [0.035, 0.000, 0.000]],
  "sg": "P3m1",
  "magnetic_moment_mub_per_fu": 0.00,
  "density_g_cm3": 4.5
}

---

Least stable of them? arrangement B.

---

Arrangement A

{
  "formula": "Ac2SbBr",
  "functional": "PBE",
  "state": "optimized geometry",
  "lattice": [[-4.358, 0.627, -1.274], [-1.750, -2.443, -3.461], [-4.426, -6.419, 3.734]],
  "species": ["Br", "Sb", "Ac", "Ac"],
  "fractional_positions": [[0.499, 0.499, 0.504], [0.668, 0.668, 0.996], [0.076, 0.076, 0.772], [0.257, 0.257, 0.228]],
  "sg": "R3m",
  "magnetic_moment_mub_per_fu": 0.00,
  "density_g_cm3": 7.3
}

---

Arrangement B

{
  "formula": "Ac2SbBr",
  "functional": "PBE",
  "state": "optimized geometry",
  "lattice": [[4.555, 0.000, 0.000], [2.278, 3.945, 0.000], [2.278, 1.315, 10.050]],
  "species": ["Sb", "Ac", "Ac", "Br"],
  "fractional_positions": [[0.500, 0.500, 0.500], [0.899, 0.899, 0.303], [0.101, 0.101, 0.697], [0.000, 0.000, 0.000]],
  "sg": "R-3m",
  "magnetic_moment_mub_per_fu": 0.00,
  "density_g_cm3": 6.0
}

---

Arrangement C

{
  "formula": "Ac2SbBr",
  "functional": "PBE",
  "state": "optimized geometry",
  "lattice": [[5.685, 0.000, 0.000], [2.842, 4.923, 0.000], [2.842, 1.641, 4.642]],
  "species": ["Br", "Ac", "Sb", "Ac"],
  "fractional_positions": [[0.000, 0.000, 0.000], [0.250, 0.250, 0.250], [0.500, 0.500, 0.500], [0.750, 0.750, 0.750]],
  "sg": "Fm-3m",
  "magnetic_moment_mub_per_fu": 0.02,
  "density_g_cm3": 8.4
}

---

Least stable of them? arrangement B.

---

Arrangement A

{
  "formula": "AcSbBr",
  "functional": "PBE",
  "state": "optimized geometry",
  "lattice": [[4.348, -1.607, 0.744], [-0.390, 6.345, 0.698], [3.660, 0.452, 8.913]],
  "species": ["Br", "Sb", "Br", "Sb", "Ac", "Ac"],
  "fractional_positions": [[0.736, 0.824, 0.422], [0.563, 0.400, 0.869], [0.264, 0.176, 0.578], [0.437, 0.600, 0.131], [0.380, 0.852, 0.797], [0.620, 0.148, 0.203]],
  "sg": "P-1",
  "magnetic_moment_mub_per_fu": 0.00,
  "density_g_cm3": 6.5
}

---

Arrangement B

{
  "formula": "AcSbBr",
  "functional": "PBE",
  "state": "optimized geometry",
  "lattice": [[-1.606, 1.698, -4.912], [-3.667, -2.964, -2.711], [-5.041, 1.966, -0.558]],
  "species": ["Sb", "Ac", "Br"],
  "fractional_positions": [[0.664, 0.664, 0.664], [0.921, 0.921, 0.921], [0.168, 0.168, 0.168]],
  "sg": "R3m",
  "magnetic_moment_mub_per_fu": 1.03,
  "density_g_cm3": 6.1
}

---

Least stable of them? arrangement B.

---

Arrangement A

{
  "formula": "AcSeBr",
  "functional": "PBE",
  "state": "optimized geometry",
  "lattice": [[6.872, 0.000, 0.000], [0.000, 4.676, 0.000], [0.000, -2.338, 4.050]],
  "species": ["Br", "Se", "Ac"],
  "fractional_positions": [[0.571, 0.333, 0.667], [0.118, 0.000, 0.000], [0.311, 0.667, 0.333]],
  "sg": "P3m1",
  "magnetic_moment_mub_per_fu": 0.00,
  "density_g_cm3": 4.9
}

---

Arrangement B

{
  "formula": "AcSeBr",
  "functional": "PBE",
  "state": "optimized geometry",
  "lattice": [[5.129, 0.191, 0.945], [-0.379, 5.101, 1.026], [-1.274, -1.554, 7.184]],
  "species": ["Ac", "Br", "Se", "Se", "Br", "Ac"],
  "fractional_positions": [[0.500, 0.500, 0.500], [0.500, 0.000, 0.250], [0.000, 0.500, 0.750], [0.000, 0.500, 0.250], [0.500, 0.000, 0.750], [0.000, 0.000, 0.000]],
  "sg": "C2/c",
  "magnetic_moment_mub_per_fu": 0.00,
  "density_g_cm3": 6.3
}

---

Least stable of them? arrangement A.

---

Arrangement A

{
  "formula": "AcSeBr",
  "functional": "PBE",
  "state": "optimized geometry",
  "lattice": [[-6.602, 3.237, -1.576], [-3.646, -5.775, 3.413], [0.503, 7.316, 12.916]],
  "species": ["Br", "Se", "Ac", "Ac", "Ac", "Br", "Se", "Br", "Se", "Ac", "Se", "Ac", "Ac", "Br", "Se", "Ac", "Br", "Br", "Ac", "Se", "Br", "Se", "Br", "Se"],
  "fractional_positions": [[0.627, 0.375, 0.287], [0.999, 0.743, 0.476], [0.743, 0.035, 0.902], [0.757, 0.535, 0.098], [0.757, 0.035, 0.402], [0.873, 0.875, 0.713], [0.001, 0.757, 0.976], [0.127, 0.125, 0.287], [0.499, 0.757, 0.476], [0.257, 0.965, 0.098], [0.001, 0.257, 0.524], [0.243, 0.965, 0.598], [0.743, 0.535, 0.598], [0.127, 0.625, 0.213], [0.999, 0.243, 0.024], [0.243, 0.465, 0.902], [0.627, 0.875, 0.213], [0.373, 0.125, 0.787], [0.257, 0.465, 0.402], [0.501, 0.743, 0.976], [0.873, 0.375, 0.787], [0.499, 0.257, 0.024], [0.373, 0.625, 0.713], [0.501, 0.243, 0.524]],
  "sg": "Pbca",
  "magnetic_moment_mub_per_fu": 0.00,
  "density_g_cm3": 6.0
}

---

Arrangement B

{
  "formula": "AcSeBr",
  "functional": "PBE",
  "state": "optimized geometry",
  "lattice": [[5.236, 0.000, 0.000], [2.618, 4.535, 0.000], [2.618, 1.512, 4.275]],
  "species": ["Ac", "Br", "Se"],
  "fractional_positions": [[0.250, 0.250, 0.250], [0.500, 0.500, 0.500], [0.000, 0.000, 0.000]],
  "sg": "F-43m",
  "magnetic_moment_mub_per_fu": 0.00,
  "density_g_cm3": 6.3
}

---

Least stable of them? arrangement B.

---

Arrangement A

{
  "formula": "Ac3Si2Br",
  "functional": "PBE",
  "state": "optimized geometry",
  "lattice": [[-3.730, 0.686, 0.306], [-0.751, -3.450, -1.417], [0.073, -4.747, 11.517]],
  "species": ["Ac", "Ac", "Si", "Ac", "Br", "Si"],
  "fractional_positions": [[0.000, 0.000, 0.000], [0.000, 0.000, 0.306], [0.500, 0.500, 0.834], [0.000, 0.000, 0.694], [0.500, 0.500, 0.500], [0.500, 0.500, 0.166]],
  "sg": "P4/mmm",
  "magnetic_moment_mub_per_fu": 0.00,
  "density_g_cm3": 7.5
}

---

Arrangement B

{
  "formula": "Ac3Si2Br",
  "functional": "PBE",
  "state": "optimized geometry",
  "lattice": [[-3.116, 1.647, 3.385], [-4.132, -5.183, -4.809], [2.637, -7.940, 6.291]],
  "species": ["Ac", "Ac", "Si", "Ac", "Ac", "Br", "Si", "Si", "Ac", "Br", "Ac", "Si"],
  "fractional_positions": [[0.623, 0.245, 0.048], [0.877, 0.754, 0.250], [0.485, 0.970, 0.250], [0.123, 0.246, 0.750], [0.377, 0.755, 0.952], [0.782, 0.564, 0.750], [0.000, 0.000, 0.000], [0.000, 0.000, 0.500], [0.377, 0.755, 0.548], [0.218, 0.436, 0.250], [0.623, 0.245, 0.452], [0.515, 0.030, 0.750]],
  "sg": "Cmcm",
  "magnetic_moment_mub_per_fu": 0.86,
  "density_g_cm3": 6.8
}

---

Least stable of them? arrangement B.